GGA-PBE LiGaSi, optimized geometry; formation energy from raw total energies = -0.043 eV per atom; symmetry = C2/m, No. 12
1.0
5.4351 -1.4548 0.0000
5.4351 1.4548 0.0000
-3.4859 0.0000 6.3328
Li Ga Si
2 2 2
Cartesian
-0.2685 0.0000 2.2540
7.6528 0.0000 4.0788
0.6586 0.0000 6.2512
6.7257 0.0000 0.0816
2.5658 0.0000 1.8771
4.8185 0.0000 4.4557



GGA-PBE Cs2TlBSe4, optimized geometry; formation energy from raw total energies = -0.593 eV per atom; symmetry = Fddd, No. 70
1.0
0.0000 7.1449 12.8077
3.2429 0.0000 12.8077
3.2429 7.1449 0.0000
Cs Tl B Se
4 2 2 8
Cartesian
2.4322 5.3587 1.4067
4.0536 8.9312 7.8106
2.4322 5.3587 17.8049
4.0536 8.9312 24.2087
0.8107 1.7862 3.2019
5.6750 12.5037 22.4135
2.4322 5.3587 9.6058
4.0536 8.9312 16.0097
3.6473 4.1576 8.3528
3.6473 6.5599 10.8588
5.2687 7.7300 17.2626
5.2687 10.1323 14.7567
1.2170 4.1576 10.8588
1.2170 6.5599 8.3528
2.8385 7.7300 14.7567
2.8385 10.1323 17.2626



GGA-PBE PmPr2Er2Th2, optimized geometry; formation energy = 0.1762 eV per atom; symmetry = C2/m, No. 12
1.0
8.9035 -1.7433 0.0000
8.9035 1.7433 0.0000
-4.0277 0.0000 7.6230
Pm Pr Er Th
1 2 2 2
Cartesian
0.0000 0.0000 0.0000
5.8234 0.0000 0.9846
7.9560 0.0000 6.6384
2.5397 0.0000 2.3063
11.2396 0.0000 5.3167
5.3211 0.0000 4.5108
8.4583 0.0000 3.1122



GGA-PBE Ni2PdPt6, optimized geometry; formation energy = -0.0402 eV per atom; symmetry = C2/m, No. 12
1.0
7.0943 -1.3940 0.0000
7.0943 1.3940 0.0000
-4.7259 0.0000 6.7345
Ni Pd Pt
2 1 6
Cartesian
0.7910 0.0000 2.2758
8.6717 0.0000 4.4587
7.0943 0.0000 0.0000
2.3411 0.0000 0.0114
-0.6496 0.0000 4.4502
3.8798 0.0000 4.4827
5.5829 0.0000 2.2518
10.1124 0.0000 2.2843
7.1217 0.0000 6.7231



Short version: M_tot = 0.0 0.0 0.0 3.5 μB per cell, in the order given.